Record 1
A relaxed structure of Mn2MoIr. Source: Alexandria via LeMat-Bulk, functional PBE.

Calculated values
- E_form: 0.032 eV/atom
- E: -9.476 eV/atom
- Space group: F-43m (216)

Lattice parameters (Å, degrees): 4.281 4.281 4.281 60.00 60.00 60.00
Fractional positions:
Mn 0.000 0.000 0.000
Mn 0.250 0.250 0.250
Mo 0.750 0.750 0.750
Ir 0.500 0.500 0.500


Record 2
A relaxed structure of Ba5N2O. Source: Alexandria via LeMat-Bulk, functional PBE.

Calculated values
- Raw formation energy: -0.793 eV per atom
- E: -4.696 eV/atom
- Space group: Cmcm (63)

Lattice parameters (Å, degrees): 7.319 7.319 13.391 90.00 90.00 134.68
Fractional positions:
Ba 0.052 0.948 0.617
Ba 0.052 0.948 0.883
Ba 0.242 0.758 0.250
Ba 0.322 0.678 0.573
Ba 0.322 0.678 0.927
Ba 0.678 0.322 0.073
Ba 0.678 0.322 0.427
Ba 0.758 0.242 0.750
Ba 0.948 0.052 0.117
Ba 0.948 0.052 0.383
N 0.151 0.849 0.050
N 0.151 0.849 0.450
N 0.849 0.151 0.550
N 0.849 0.151 0.950
O 0.214 0.786 0.750
O 0.786 0.214 0.250


Record 3
A relaxed structure of CePrZr. Source: Alexandria via LeMat-Bulk, functional PBE.

Calculated values
- ΔE to the lowest computed polymorph: 0.00 eV per formula unit
- E_form: 0.114 eV/atom
- E: -6.307 eV/atom
- Space group: P4/nmm (129)

Lattice parameters (Å, degrees): 3.610 3.610 13.231 90.00 90.00 90.00
Fractional positions:
Ce 0.250 0.250 0.212
Ce 0.750 0.750 0.788
Pr 0.250 0.250 0.607
Pr 0.750 0.750 0.393
Zr 0.250 0.250 0.933
Zr 0.750 0.750 0.067


Record 4
A relaxed structure of Cs2Rb4TlSb2. Source: Alexandria via LeMat-Bulk, functional PBE.

Calculated values
- Raw formation energy: -0.212 eV per atom
- E: -2.011 eV/atom
- Space group: C2/m (12)

Lattice parameters (Å, degrees): 10.115 10.115 5.971 107.04 107.04 60.00
Fractional positions:
Cs 0.140 0.140 0.142
Cs 0.860 0.860 0.858
Rb 0.156 0.558 0.356
Rb 0.442 0.844 0.644
Rb 0.558 0.156 0.356
Rb 0.844 0.442 0.644
Tl 0.500 0.500 0.000
Sb 0.291 0.291 0.791
Sb 0.709 0.709 0.209


Record 5
A relaxed structure of LaTm4Cd. Source: Alexandria via LeMat-Bulk, functional PBE.

Calculated values
- ΔE to the lowest computed polymorph: 1.47 eV per formula unit
- E_form: 0.168 eV/atom
- E: -3.787 eV/atom
- Space group: Cmc2_1 (36)

Lattice parameters (Å, degrees): 7.981 7.981 9.155 90.00 90.00 139.81
Fractional positions:
La 0.125 0.875 0.500
La 0.875 0.125 0.000
Tm 0.100 0.900 0.135
Tm 0.258 0.742 0.837
Tm 0.331 0.669 0.181
Tm 0.479 0.521 0.862
Tm 0.521 0.479 0.362
Tm 0.669 0.331 0.681
Tm 0.742 0.258 0.337
Tm 0.900 0.100 0.635
Cd 0.337 0.663 0.525
Cd 0.663 0.337 0.025


Record 6
A relaxed structure of Tb2CuF. Source: Alexandria via LeMat-Bulk, functional PBE.

Calculated values
- Raw formation energy: -1.207 eV per atom
- E: -5.014 eV/atom
- Space group: R-3m (166)

Lattice parameters (Å, degrees): 6.388 6.388 6.388 35.93 35.93 35.93
Fractional positions:
Tb 0.244 0.244 0.244
Tb 0.756 0.756 0.756
Cu 0.000 0.000 0.000
F 0.500 0.500 0.500